1.
## SmThSn2Rh5 (PBE)

Data for a relaxed SmThSn2Rh5 crystal.

Summary:
As for the formation energy: -4.424 eV per formula unit. As for the total magnetization: 0.0 μB/f.u. As for the electronic total energy: -0.2504 hartree per atom. As for the space group: P4/mmm, No. 123.

abc: 4.425 4.425 9.142
angles: 90.00 90.00 90.00
Element x y z (fractional)
Sm  0.000  0.000  0.000
Th  0.000  0.000  0.500
Sn  0.500  0.500  0.348
Sn  0.500  0.500  0.652
Rh  0.000  0.500  0.211
Rh  0.000  0.500  0.789
Rh  0.500  0.000  0.211
Rh  0.500  0.000  0.789
Rh  0.500  0.500  0.000

=====

2.
## Sm2Ti2SnRh5 (PBE)

Data for a relaxed Sm2Ti2SnRh5 crystal.

Summary:
As for the formation energy: -5.921 eV per formula unit. As for the total magnetization: 0.0 μB/f.u. As for the electronic total energy: -0.2643 hartree per atom. As for the space group: P4/mbm, No. 127.

abc: 10.030 10.030 3.691
angles: 90.00 90.00 90.00
Element x y z (fractional)
Sm  0.183  0.317  0.000
Sm  0.317  0.817  0.000
Sm  0.683  0.183  0.000
Sm  0.817  0.683  0.000
Ti  0.116  0.616  0.000
Ti  0.384  0.116  0.000
Ti  0.616  0.884  0.000
Ti  0.884  0.384  0.000
Sn  0.000  0.000  0.000
Sn  0.500  0.500  0.000
Rh  0.000  0.500  0.500
Rh  0.062  0.787  0.500
Rh  0.213  0.062  0.500
Rh  0.287  0.562  0.500
Rh  0.438  0.287  0.500
Rh  0.500  0.000  0.500
Rh  0.562  0.713  0.500
Rh  0.713  0.438  0.500
Rh  0.787  0.938  0.500
Rh  0.938  0.213  0.500

=====

3.
## Sm2TlSn2Rh5 (PBE)

Data for a relaxed Sm2TlSn2Rh5 crystal.

Summary:
As for the formation energy: -4.821 eV per formula unit. As for the total magnetization: 0.0 μB/f.u. As for the electronic total energy: -0.2256 hartree per atom. As for the space group: P4/mbm, No. 127.

abc: 10.254 10.254 3.781
angles: 90.00 90.00 90.00
Element x y z (fractional)
Sm  0.172  0.328  0.000
Sm  0.328  0.828  0.000
Sm  0.672  0.172  0.000
Sm  0.828  0.672  0.000
Tl  0.000  0.000  0.000
Tl  0.500  0.500  0.000
Sn  0.126  0.626  0.000
Sn  0.374  0.126  0.000
Sn  0.626  0.874  0.000
Sn  0.874  0.374  0.000
Rh  0.000  0.500  0.500
Rh  0.062  0.795  0.500
Rh  0.205  0.062  0.500
Rh  0.295  0.562  0.500
Rh  0.438  0.295  0.500
Rh  0.500  0.000  0.500
Rh  0.562  0.705  0.500
Rh  0.705  0.438  0.500
Rh  0.795  0.938  0.500
Rh  0.938  0.205  0.500

=====

4.
## Sm2TmSn3Rh4 (PBE)

Data for a relaxed Sm2TmSn3Rh4 crystal.

Summary:
As for the formation energy: -7.513 eV per formula unit. As for the total magnetization: 0.0 μB/f.u. As for the electronic total energy: -0.2309 hartree per atom. As for the space group: P-4m2, No. 115.

abc: 4.377 4.377 11.454
angles: 90.00 90.00 90.00
Element x y z (fractional)
Sm  0.000  0.500  0.232
Sm  0.500  0.000  0.768
Tm  0.000  0.000  0.500
Sn  0.000  0.500  0.872
Sn  0.500  0.000  0.128
Sn  0.500  0.500  0.500
Rh  0.000  0.000  0.000
Rh  0.000  0.500  0.646
Rh  0.500  0.000  0.354
Rh  0.500  0.500  0.000

=====

5.
## SmTmSnRh (PBE)

Data for a relaxed SmTmSnRh crystal.

Summary:
As for the formation energy: -2.514 eV per formula unit. As for the total magnetization: 0.0 μB/f.u. As for the electronic total energy: -0.2118 hartree per atom. As for the space group: F-43m, No. 216.

abc: 7.244 7.244 7.244
angles: 90.00 90.00 90.00
Element x y z (fractional)
Sm  0.000  0.000  0.000
Sm  0.000  0.500  0.500
Sm  0.500  0.000  0.500
Sm  0.500  0.500  0.000
Tm  0.000  0.000  0.500
Tm  0.000  0.500  0.000
Tm  0.500  0.000  0.000
Tm  0.500  0.500  0.500
Sn  0.250  0.250  0.750
Sn  0.250  0.750  0.250
Sn  0.750  0.250  0.250
Sn  0.750  0.750  0.750
Rh  0.250  0.250  0.250
Rh  0.250  0.750  0.750
Rh  0.750  0.250  0.750
Rh  0.750  0.750  0.250

=====

6.
## SmYSnRh (PBE)

Data for a relaxed SmYSnRh crystal.

Summary:
As for the formation energy: -2.522 eV per formula unit. As for the total magnetization: 0.0 μB/f.u. As for the electronic total energy: -0.2302 hartree per atom. As for the space group: F-43m, No. 216.

abc: 7.298 7.298 7.298
angles: 90.00 90.00 90.00
Element x y z (fractional)
Sm  0.000  0.000  0.000
Sm  0.000  0.500  0.500
Sm  0.500  0.000  0.500
Sm  0.500  0.500  0.000
Y  0.000  0.000  0.500
Y  0.000  0.500  0.000
Y  0.500  0.000  0.000
Y  0.500  0.500  0.500
Sn  0.250  0.250  0.250
Sn  0.250  0.750  0.750
Sn  0.750  0.250  0.750
Sn  0.750  0.750  0.250
Rh  0.250  0.250  0.750
Rh  0.250  0.750  0.250
Rh  0.750  0.250  0.250
Rh  0.750  0.750  0.750

=====

7.
## SrSm4Rh5 (PBE)

Data for a relaxed SrSm4Rh5 crystal.

Summary:
As for the formation energy: -6.156 eV per formula unit. As for the total magnetization: 0.0 μB/f.u. As for the electronic total energy: -0.2333 hartree per atom. As for the space group: P4/mmm, No. 123.

abc: 3.540 3.540 17.511
angles: 90.00 90.00 90.00
Element x y z (fractional)
Sr  0.000  0.000  0.000
Sm  0.000  0.000  0.205
Sm  0.000  0.000  0.402
Sm  0.000  0.000  0.598
Sm  0.000  0.000  0.795
Rh  0.500  0.500  0.119
Rh  0.500  0.500  0.307
Rh  0.500  0.500  0.500
Rh  0.500  0.500  0.693
Rh  0.500  0.500  0.881

=====

8.
## SrSm2Rh9 (PBE)

Data for a relaxed SrSm2Rh9 crystal.

Summary:
As for the formation energy: -5.007 eV per formula unit. As for the total magnetization: 0.0 μB/f.u. As for the electronic total energy: -0.2520 hartree per atom. As for the space group: R-3m, No. 166.

abc: 9.313 9.313 9.313
angles: 33.38 33.38 33.38
Element x y z (fractional)
Sr  0.000  0.000  0.000
Sm  0.138  0.138  0.138
Sm  0.862  0.862  0.862
Rh  0.083  0.582  0.582
Rh  0.333  0.333  0.333
Rh  0.418  0.418  0.917
Rh  0.418  0.917  0.418
Rh  0.500  0.500  0.500
Rh  0.582  0.083  0.582
Rh  0.582  0.582  0.083
Rh  0.667  0.667  0.667
Rh  0.917  0.418  0.418